Record 1
This record from the Alexandria database describes an optimized crystal structure of CsMn2NbCl8. The functional is GGA-PBE.

abc: 6.335 6.335 11.524
angles: 74.05 74.05 60.00
Each line ends with the local moment (μB).
Atoms (fractional coordinates):
Cs 0.000 0.000 0.000  0.00
Mn 0.761 0.761 0.716  4.32
Mn 0.239 0.239 0.284  4.32
Nb 0.500 0.500 0.500  1.75
Cl 0.692 0.692 0.925  0.07
Cl 0.308 0.308 0.075  0.07
Cl 0.565 0.236 0.350  0.04
Cl 0.764 0.435 0.650  0.04
Cl 0.151 0.764 0.650  0.04
Cl 0.236 0.849 0.350  0.04
Cl 0.849 0.565 0.350  0.04
Cl 0.435 0.151 0.650  0.04

Energy relative to the elements, uncorrected = -1.164 eV/atom
Fermi-level density of states = 5.738 states/eV/f.u.


Record 2
This record from the Alexandria database describes an optimized crystal structure of CsMnNiCl6. The functional is GGA-PBE.

abc: 6.242 6.243 7.858
angles: 89.13 90.88 61.97
Each line ends with the local moment (μB).
Atoms (fractional coordinates):
Cs 0.006 0.006 0.000  0.01
Mn 0.334 0.334 0.500  3.68
Ni 0.673 0.673 0.500  1.43
Cl 0.004 0.371 0.337  0.06
Cl 0.372 0.004 0.663  0.06
Cl 0.619 0.372 0.671  0.04
Cl 0.987 0.633 0.687  0.14
Cl 0.372 0.619 0.329  0.04
Cl 0.632 0.987 0.313  0.14

Energy relative to the elements, uncorrected = -1.071 eV/atom
Fermi-level density of states = 0.385 states/eV/f.u.


Record 3
This record from the Alexandria database describes an optimized crystal structure of CsMnNi2Cl8. The functional is GGA-PBE.

abc: 6.226 6.226 10.466
angles: 72.70 72.70 60.00
Each line ends with the local moment (μB).
Atoms (fractional coordinates):
Cs 0.500 0.500 0.500  0.00
Mn 0.000 0.000 0.000  2.62
Ni 0.269 0.269 0.192  1.16
Ni 0.731 0.731 0.808  1.16
Cl 0.195 0.195 0.414  0.12
Cl 0.653 0.257 0.138  0.05
Cl 0.805 0.805 0.586  0.12
Cl 0.952 0.653 0.138  0.05
Cl 0.048 0.347 0.862  0.05
Cl 0.257 0.952 0.138  0.05
Cl 0.743 0.048 0.862  0.05
Cl 0.347 0.743 0.862  0.05

Energy relative to the elements, uncorrected = -0.848 eV/atom
Fermi-level density of states = 8.750 states/eV/f.u.


Record 4
This record from the Alexandria database describes an optimized crystal structure of CsNpMnCl6. The functional is GGA-PBE.

abc: 9.999 9.419 9.720
angles: 118.98 120.95 90.00
Each line ends with the local moment (μB).
Atoms (fractional coordinates):
Cs 0.796 0.546 0.592  0.00
Cs 0.204 0.454 0.408  0.00
Np 0.500 0.000 0.500  4.00
Np 0.000 0.000 0.500  4.00
Mn 0.500 0.500 0.000  4.43
Mn 0.500 0.000 0.000  4.43
Cl 0.456 0.706 0.912  0.06
Cl 0.835 0.085 0.671  -0.03
Cl 0.815 0.102 0.261  0.01
Cl 0.446 0.659 0.261  0.01
Cl 0.446 0.102 0.261  0.01
Cl 0.815 0.659 0.261  0.01
Cl 0.544 0.294 0.088  0.06
Cl 0.165 0.915 0.329  -0.03
Cl 0.185 0.898 0.739  0.01
Cl 0.554 0.341 0.739  0.01
Cl 0.554 0.898 0.739  0.01
Cl 0.185 0.341 0.739  0.01

Energy relative to the elements, uncorrected = -1.551 eV/atom
Fermi-level density of states = 7.485 states/eV/f.u.